Mg2ZrIrO after structural relaxation, computed with PBE.

Summary:
Density of states at the Fermi level (states/eV/f.u.): 1.0
Final energy (eV per atom): -6.3470
Formation energy (no corrections) (eV per atom): -1.24
Space group: P4/mmm (123)

Lattice parameters (Å, degrees): 4.0193 4.0193 4.6718 90.00 90.00 90.00
Positions (direct):
O 0.0000 0.0000 0.0000
Ir 0.5000 0.5000 0.5000
Mg 0.0000 0.5000 0.0000
Mg 0.5000 0.0000 0.0000
Zr 0.0000 0.0000 0.5000